## BSbMo2Pt (GGA-PBE)

Data for crystalline BSbMo2Pt at its relaxed geometry.

N(E_F): 5.43 states/eV/f.u.
formation energy from raw total energies: 2.190 eV per atom
total magnetization: 3.734 μB/f.u.
raw total energy: -5.511 eV/atom
relative energy among the computed polymorphs: 0 meV per atom

Lattice parameters (Å, degrees): 5.051 5.051 4.075 90.00 90.00 90.00
Fractional positions:
Mo 0.500 0.000 0.000
Mo 0.000 0.500 0.000
Pt 0.500 0.500 0.500
Sb 0.000 0.000 0.000
B 0.000 0.000 0.500

=====

## SrBMoPt2 (GGA-PBE)

Data for crystalline SrBMoPt2 at its relaxed geometry.

N(E_F): 8.53 states/eV/f.u.
total magnetization: 0.224 μB/f.u.
raw total energy: -3.722 eV/atom

Lattice parameters (Å, degrees): 5.134 4.425 5.134 90.00 90.00 90.00
Fractional positions:
Pt 0.500 0.000 0.000
Pt 0.000 0.000 0.500
Sr 0.000 0.000 0.000
B 0.000 0.500 0.000
Mo 0.500 0.500 0.500

=====

## TaBMoPt2 (GGA-PBE)

Data for crystalline TaBMoPt2 at its relaxed geometry.

N(E_F): 4.44 states/eV/f.u.
total magnetization: 0.000 μB/f.u.
raw total energy: -7.014 eV/atom

Lattice parameters (Å, degrees): 4.796 4.007 4.796 90.00 90.00 90.00
Fractional positions:
Pt 0.000 0.000 0.500
Pt 0.500 0.000 0.000
B 0.000 0.500 0.000
Ta 0.500 0.500 0.500
Mo 0.000 0.000 0.000

=====

## TcBMo2Pt (GGA-PBE)

Data for crystalline TcBMo2Pt at its relaxed geometry.

N(E_F): 2.49 states/eV/f.u.
total magnetization: 0.000 μB/f.u.
raw total energy: -8.939 eV/atom
relative energy among the computed polymorphs: 0 meV per atom

Lattice parameters (Å, degrees): 4.167 4.090 4.167 90.00 90.00 90.00
Fractional positions:
Mo 0.000 0.000 0.500
Mo 0.500 0.000 0.000
Pt 0.500 0.500 0.500
Tc 0.000 0.500 0.000
B 0.000 0.000 0.000

=====

## TcBMo2Pt (GGA-PBE)

Data for crystalline TcBMo2Pt at its relaxed geometry.

N(E_F): 2.24 states/eV/f.u.
total magnetization: 0.000 μB/f.u.
raw total energy: -8.856 eV/atom
relative energy among the computed polymorphs: 83 meV per atom

Lattice parameters (Å, degrees): 4.185 4.063 4.185 90.00 90.00 90.00
Fractional positions:
Pt 0.000 0.500 0.000
B 0.000 0.000 0.000
Mo 0.500 0.000 0.000
Mo 0.000 0.000 0.500
Tc 0.500 0.500 0.500

=====

## BTe2MoPt (GGA-PBE)

Data for crystalline BTe2MoPt at its relaxed geometry.

N(E_F): 3.33 states/eV/f.u.
formation energy from raw total energies: 0.956 eV per atom
total magnetization: 0.000 μB/f.u.
raw total energy: -5.011 eV/atom

Lattice parameters (Å, degrees): 5.224 4.057 5.224 90.00 90.00 90.00
Fractional positions:
Mo 0.000 0.000 0.000
Te 0.000 0.000 0.500
Te 0.500 0.000 0.000
B 0.000 0.500 0.000
Pt 0.500 0.500 0.500

=====

## Y2BMoPt (GGA-PBE)

Data for crystalline Y2BMoPt at its relaxed geometry.

N(E_F): 4.81 states/eV/f.u.
total magnetization: 2.365 μB/f.u.
raw total energy: -6.852 eV/atom

Lattice parameters (Å, degrees): 5.474 3.975 5.474 90.00 90.00 90.00
Fractional positions:
Pt 0.000 0.000 0.000
B 0.000 0.500 0.000
Y 0.500 0.000 0.000
Y 0.000 0.000 0.500
Mo 0.500 0.500 0.500

=====

## PuB4Mo (GGA-PBE)

Data for crystalline PuB4Mo at its relaxed geometry.

N(E_F): 7.42 states/eV/f.u.
total magnetization: 4.855 μB/f.u.
raw total energy: -9.157 eV/atom
relative energy among the computed polymorphs: 0 meV per atom

Lattice parameters (Å, degrees): 3.634 6.026 11.666 90.00 90.00 90.00
Fractional positions:
B 0.500 0.633 0.532
B 0.500 0.213 0.813
B 0.500 0.525 0.807
B 0.500 0.713 0.687
B 0.500 0.115 0.547
B 0.500 0.367 0.468
B 0.500 0.475 0.193
B 0.500 0.133 0.968
B 0.500 0.787 0.187
B 0.500 0.287 0.313
B 0.500 0.867 0.032
B 0.500 0.975 0.307
B 0.500 0.025 0.693
B 0.500 0.385 0.047
B 0.500 0.615 0.953
B 0.500 0.885 0.453
Pu 0.000 0.374 0.651
Pu 0.000 0.874 0.849
Pu 0.000 0.126 0.151
Pu 0.000 0.626 0.349
Mo 0.000 0.868 0.586
Mo 0.000 0.632 0.086
Mo 0.000 0.368 0.914
Mo 0.000 0.132 0.414

=====

## PuBMo2 (GGA-PBE)

Data for crystalline PuBMo2 at its relaxed geometry.

N(E_F): 6.11 states/eV/f.u.
total magnetization: 6.159 μB/f.u.
raw total energy: -10.409 eV/atom

Lattice parameters (Å, degrees): 3.133 3.133 8.104 78.86 78.86 60.00
Fractional positions:
Mo 0.116 0.116 0.652
Mo 0.884 0.884 0.348
Pu 0.000 0.000 0.000
B 0.500 0.500 0.500

=====

## PuB6Mo2 (GGA-PBE)

Data for crystalline PuB6Mo2 at its relaxed geometry.

N(E_F): 7.03 states/eV/f.u.
total magnetization: 3.866 μB/f.u.
raw total energy: -8.820 eV/atom

Lattice parameters (Å, degrees): 3.514 5.367 5.367 120.00 90.00 90.00
Fractional positions:
B 0.500 0.661 0.000
B 0.500 0.000 0.339
B 0.500 0.661 0.661
B 0.500 0.000 0.661
B 0.500 0.339 0.000
B 0.500 0.339 0.339
Mo 0.000 0.667 0.333
Mo 0.000 0.333 0.667
Pu 0.000 0.000 0.000

=====

## PuB4Mo (GGA-PBE)

Data for crystalline PuB4Mo at its relaxed geometry.

N(E_F): 5.50 states/eV/f.u.
total magnetization: 4.260 μB/f.u.
raw total energy: -9.036 eV/atom
relative energy among the computed polymorphs: 121 meV per atom

Lattice parameters (Å, degrees): 3.524 3.067 5.721 90.00 90.00 90.00
Fractional positions:
B 0.499 0.497 0.703
B 0.499 0.997 0.843
B 0.499 0.997 0.153
B 0.499 0.497 0.293
Mo 0.999 0.497 0.998
Pu 0.999 0.997 0.498

=====

## Pu2B2MoRu5 (GGA-PBE)

Data for crystalline Pu2B2MoRu5 at its relaxed geometry.

N(E_F): 17.97 states/eV/f.u.
total magnetization: 8.218 μB/f.u.
raw total energy: -10.192 eV/atom

Lattice parameters (Å, degrees): 3.040 9.767 9.767 90.00 90.00 90.00
Fractional positions:
Mo 0.000 0.500 0.500
Mo 0.000 0.000 0.000
Ru 0.500 0.569 0.721
Ru 0.500 0.500 0.000
Ru 0.500 0.931 0.221
Ru 0.500 0.000 0.500
Ru 0.500 0.779 0.931
Ru 0.500 0.069 0.779
Ru 0.500 0.221 0.069
Ru 0.500 0.721 0.431
Ru 0.500 0.279 0.569
Ru 0.500 0.431 0.279
Pu 0.000 0.178 0.322
Pu 0.000 0.322 0.822
Pu 0.000 0.822 0.678
Pu 0.000 0.678 0.178
B 0.000 0.619 0.881
B 0.000 0.119 0.619
B 0.000 0.381 0.119
B 0.000 0.881 0.381

=====

## RbB3Mo (GGA-PBE)

Data for crystalline RbB3Mo at its relaxed geometry.

N(E_F): 2.10 states/eV/f.u.
total magnetization: 0.000 μB/f.u.
raw total energy: -5.290 eV/atom
relative energy among the computed polymorphs: 0 meV per atom

Lattice parameters (Å, degrees): 4.378 4.378 4.378 90.00 90.00 90.00
Fractional positions:
B 0.000 0.500 0.000
B 0.500 0.000 0.000
B 0.000 0.000 0.500
Mo 0.000 0.000 0.000
Rb 0.500 0.500 0.500

=====

## RbBMo3 (GGA-PBE)

Data for crystalline RbBMo3 at its relaxed geometry.

N(E_F): 4.49 states/eV/f.u.
total magnetization: 0.000 μB/f.u.
raw total energy: -6.574 eV/atom

Lattice parameters (Å, degrees): 4.448 4.448 4.448 90.00 90.00 90.00
Fractional positions:
Mo 0.500 0.000 0.000
Mo 0.000 0.500 0.000
Mo 0.000 0.000 0.500
B 0.000 0.000 0.000
Rb 0.500 0.500 0.500

=====

## Rb2BMo (GGA-PBE)

Data for crystalline Rb2BMo at its relaxed geometry.

N(E_F): 1.70 states/eV/f.u.
total magnetization: 3.189 μB/f.u.
raw total energy: -3.579 eV/atom

Lattice parameters (Å, degrees): 13.613 13.613 9.854 46.31 46.31 90.00
Fractional positions:
Rb 0.874 0.625 0.250
Rb 0.375 0.124 0.750
Rb 0.875 0.126 0.750
Rb 0.876 0.125 0.250
Mo 0.750 0.250 0.500
Mo 0.000 0.000 0.000
B 0.500 0.500 0.000
B 0.250 0.750 0.500

=====

## RbB3Mo (GGA-PBE)

Data for crystalline RbB3Mo at its relaxed geometry.

N(E_F): 5.78 states/eV/f.u.
total magnetization: 0.302 μB/f.u.
raw total energy: -2.569 eV/atom
relative energy among the computed polymorphs: 2722 meV per atom

Lattice parameters (Å, degrees): 4.229 4.229 4.229 90.00 90.00 90.00
Fractional positions:
Mo 0.500 0.500 0.500
B 0.000 0.500 0.000
B 0.000 0.000 0.500
B 0.500 0.000 0.000
Rb 0.000 0.000 0.000

=====

## RbBMo2 (GGA-PBE)

Data for crystalline RbBMo2 at its relaxed geometry.

N(E_F): 6.18 states/eV/f.u.
total magnetization: 2.259 μB/f.u.
raw total energy: -5.735 eV/atom

Lattice parameters (Å, degrees): 6.519 6.519 6.683 60.81 60.81 90.00
Fractional positions:
B 0.500 0.500 0.000
B 0.250 0.750 0.500
Mo 0.375 0.125 0.250
Mo 0.375 0.625 0.250
Mo 0.875 0.625 0.750
Mo 0.375 0.625 0.750
Rb 0.000 0.000 0.000
Rb 0.750 0.250 0.500

=====

## Rb3BMo (GGA-PBE)

Data for crystalline Rb3BMo at its relaxed geometry.

N(E_F): 5.78 states/eV/f.u.
total magnetization: 4.856 μB/f.u.
raw total energy: -2.323 eV/atom
relative energy among the computed polymorphs: 0 meV per atom

Lattice parameters (Å, degrees): 6.283 6.283 6.283 90.00 90.00 90.00
Fractional positions:
Mo 0.500 0.500 0.500
Rb 0.000 0.000 0.500
Rb 0.000 0.500 0.000
Rb 0.500 0.000 0.000
B 0.000 0.000 0.000

=====

## RbBMoSe2 (GGA-PBE)

Data for crystalline RbBMoSe2 at its relaxed geometry.

N(E_F): 2.45 states/eV/f.u.
formation energy from raw total energies: 0.621 eV per atom
total magnetization: 2.943 μB/f.u.
raw total energy: -4.468 eV/atom

Lattice parameters (Å, degrees): 5.095 4.270 5.095 90.00 90.00 90.00
Fractional positions:
Rb 0.500 0.500 0.500
B 0.000 0.000 0.000
Se 0.500 0.000 0.000
Se 0.000 0.000 0.500
Mo 0.000 0.500 0.000

=====

## Rb2YBMo (GGA-PBE)

Data for crystalline Rb2YBMo at its relaxed geometry.

N(E_F): 6.11 states/eV/f.u.
total magnetization: 4.383 μB/f.u.
raw total energy: -2.940 eV/atom

Lattice parameters (Å, degrees): 7.379 5.006 7.379 90.00 90.00 90.00
Fractional positions:
Rb 0.500 0.000 0.000
Rb 0.000 0.000 0.500
B 0.500 0.500 0.500
Mo 0.000 0.500 0.000
Y 0.000 0.000 0.000